Entry 1:
## MnTc2H2 (PBE)

Data for a relaxed MnTc2H2 crystal.

Cell: 5.7112 5.7112 2.7876 Å, 90.00 90.00 90.00°
With the nearest neighbours (Å) after each atom.
Fractional positions:
Mn  0.5000  0.5000  0.0000  4 H 2.09
Mn  0.0000  0.0000  0.0000  4 H 2.09
H  0.1819  0.3181  0.0000  2 Tc 1.96, 2 Mn 2.09
H  0.3181  0.8181  0.0000  2 Tc 1.96, 2 Mn 2.09
H  0.8181  0.6819  0.0000  2 Tc 1.96, 2 Mn 2.09
H  0.6819  0.1819  0.0000  2 Tc 1.96, 2 Mn 2.09
Tc  0.1471  0.6471  0.5000  2 H 1.96
Tc  0.3529  0.1471  0.5000  2 H 1.96
Tc  0.8529  0.3529  0.5000  2 H 1.96
Tc  0.6471  0.8529  0.5000  2 H 1.96

**Magnetic moment**: 0.000 μB/atom
**N(E_F)**: 8.082 states/eV/cell
**VASP energy**: -7.1059 eV per atom
**Energy above the lowest structure with this stoichiometry**: 0.087 eV per atom
**ρ**: 9.239 Mg/m³

=====

Entry 2:
## Mn2Tc2H (PBE)

Data for a relaxed Mn2Tc2H crystal.

Cell: 3.0034 3.0034 7.0446 Å, 77.69 77.69 90.00°
With the nearest neighbours (Å) after each atom.
Fractional positions:
H  0.0000  0.0000  0.0000  8 Tc 2.45
Mn  0.2500  0.7500  0.5000  4 Mn 2.12
Mn  0.7500  0.2500  0.5000  4 Mn 2.12
Tc  0.5908  0.5908  0.8183  1 Tc 2.44, 4 H 2.45, 4 Mn 2.61
Tc  0.4092  0.4092  0.1817  1 Tc 2.44, 4 H 2.45, 4 Mn 2.61

**Magnetic moment**: 0.001 μB/atom
**N(E_F)**: 7.147 states/eV/cell
**VASP energy**: -7.6505 eV per atom
**Energy above the lowest structure with this stoichiometry**: 0.123 eV per atom
**ρ**: 8.411 Mg/m³

=====

Entry 3:
## MnTcH2 (PBE)

Data for a relaxed MnTcH2 crystal.

Cell: 2.7432 2.7432 5.0357 Å, 74.19 74.19 60.00°
With the nearest neighbours (Å) after each atom.
Fractional positions:
Tc  0.4910  0.4910  0.5270  6 H 2.05-2.24
Mn  0.6746  0.6746  0.9762  6 H 1.79-1.90
H  0.0667  0.0667  0.8000  3 Mn 1.79
H  0.2677  0.2677  0.1968  3 Mn 1.90

**Magnetic moment**: 0.340 μB/atom
**N(E_F)**: 2.841 states/eV/cell
**VASP energy**: -6.3748 eV per atom
**Energy above the lowest structure with this stoichiometry**: 0.065 eV per atom
**ρ**: 8.260 Mg/m³

=====

Entry 4:
## Mn2Tc2H (PBE)

Data for a relaxed Mn2Tc2H crystal.

Cell: 6.7806 6.7806 2.7850 Å, 90.00 90.00 90.00°
With the nearest neighbours (Å) after each atom.
Fractional positions:
H  0.0000  0.0000  0.0000  4 Tc 2.52, 2 H 2.78
H  0.5000  0.5000  0.0000  4 Tc 2.52, 2 H 2.78
Mn  0.1289  0.6289  0.5000  6 Tc 2.38-2.47, 1 Mn 2.47
Mn  0.6289  0.8711  0.5000  6 Tc 2.38-2.47, 1 Mn 2.47
Mn  0.3711  0.1289  0.5000  6 Tc 2.38-2.47, 1 Mn 2.47
Mn  0.8711  0.3711  0.5000  6 Tc 2.38-2.47, 1 Mn 2.47
Tc  0.1696  0.3304  0.0000  6 Mn 2.38-2.47, 2 H 2.52
Tc  0.3304  0.8304  0.0000  6 Mn 2.38-2.47, 2 H 2.52
Tc  0.6696  0.1696  0.0000  6 Mn 2.38-2.47, 2 H 2.52
Tc  0.8304  0.6696  0.0000  6 Mn 2.38-2.47, 2 H 2.52

**Magnetic moment**: 0.104 μB/atom
**N(E_F)**: 6.744 states/eV/cell
**VASP energy**: -7.7732 eV per atom
**Energy above the lowest structure with this stoichiometry**: 0.000 eV per atom
**ρ**: 7.960 Mg/m³

=====

Entry 5:
## Mn2TcH2 (PBE)

Data for a relaxed Mn2TcH2 crystal.

Cell: 5.6473 5.6473 2.6752 Å, 90.00 90.00 90.00°
With the nearest neighbours (Å) after each atom.
Fractional positions:
H  0.7092  0.2092  0.0000  2 Mn 1.87, 2 Tc 2.02
H  0.7908  0.7092  0.0000  2 Mn 1.87, 2 Tc 2.02
H  0.2092  0.2908  0.0000  2 Mn 1.87, 2 Tc 2.02
H  0.2908  0.7908  0.0000  2 Mn 1.87, 2 Tc 2.02
Tc  0.5000  0.5000  0.0000  4 H 2.02
Tc  0.0000  0.0000  0.0000  4 H 2.02
Mn  0.1275  0.6275  0.5000  2 H 1.87, 1 Mn 2.04
Mn  0.8725  0.3725  0.5000  2 H 1.87, 1 Mn 2.04
Mn  0.6275  0.8725  0.5000  2 H 1.87, 1 Mn 2.04
Mn  0.3725  0.1275  0.5000  2 H 1.87, 1 Mn 2.04

**Magnetic moment**: 0.000 μB/atom
**N(E_F)**: 6.625 states/eV/cell
**VASP energy**: -6.8396 eV per atom
**Energy above the lowest structure with this stoichiometry**: 0.202 eV per atom
**ρ**: 8.170 Mg/m³

=====

Entry 6:
## MnTcH (PBE)

Data for a relaxed MnTcH crystal.

Cell: 2.7061 2.7150 8.7579 Å, 81.10 89.99 60.11°
With the nearest neighbours (Å) after each atom.
Fractional positions:
Mn  0.9865  0.9011  0.1090  3 H 1.82
Mn  0.7261  0.4164  0.3243  3 H 1.82
H  0.2832  0.3065  0.0012  3 Mn 1.82
H  0.4294  0.0109  0.4321  3 Mn 1.82
Tc  0.1479  0.5761  0.5898  3 H 2.07-2.08
Tc  0.5647  0.7415  0.8434  3 H 2.07-2.08

**Magnetic moment**: 0.000 μB/atom
**N(E_F)**: 4.858 states/eV/cell
**VASP energy**: -7.6047 eV per atom
**ρ**: 9.314 Mg/m³

=====

Entry 7:
## MnTc2H2 (PBE)

Data for a relaxed MnTc2H2 crystal.

Cell: 2.8447 2.8447 5.9960 Å, 76.28 76.28 90.00°
With the nearest neighbours (Å) after each atom.
Fractional positions:
H  0.2500  0.7500  0.5000  4 Tc 1.88, 4 H 2.01
H  0.7500  0.2500  0.5000  4 Tc 1.88, 4 H 2.01
Tc  0.6407  0.6407  0.7187  4 H 1.88
Tc  0.3593  0.3593  0.2813  4 H 1.88
Mn  0.0000  0.0000  0.0000  8 Tc 2.56, 4 Mn 2.84

**Magnetic moment**: 0.053 μB/atom
**N(E_F)**: 3.747 states/eV/cell
**VASP energy**: -7.1926 eV per atom
**Energy above the lowest structure with this stoichiometry**: 0.000 eV per atom
**ρ**: 9.189 Mg/m³

=====

Entry 8:
## MnTcH2 (PBE)

Data for a relaxed MnTcH2 crystal.

Cell: 2.7977 2.7977 5.0106 Å, 73.79 73.79 60.00°
With the nearest neighbours (Å) after each atom.
Fractional positions:
Tc  0.0000  0.0000  0.0000  2 H 1.78
Mn  0.5000  0.5000  0.5000  6 H 1.72
H  0.1252  0.1252  0.6244  3 Mn 1.72, 1 Tc 1.78
H  0.8748  0.8748  0.3756  3 Mn 1.72, 1 Tc 1.78

**Magnetic moment**: 0.400 μB/atom
**N(E_F)**: 2.180 states/eV/cell
**VASP energy**: -6.4396 eV per atom
**Energy above the lowest structure with this stoichiometry**: 0.000 eV per atom
**ρ**: 8.003 Mg/m³

=====

Entry 9:
## MnTc2H (PBE)

Data for a relaxed MnTc2H crystal.

Cell: 4.0136 4.0136 4.0136 Å, 60.00 60.00 60.00°
With the nearest neighbours (Å) after each atom.
Fractional positions:
Tc  0.2500  0.2500  0.2500  4 H 2.46, 4 Mn 2.46
Tc  0.7500  0.7500  0.7500  4 H 2.46, 4 Mn 2.46
H  0.0000  0.0000  0.0000  8 Tc 2.46
Mn  0.5000  0.5000  0.5000  8 Tc 2.46

**Magnetic moment**: 0.000 μB/atom
**N(E_F)**: 6.941 states/eV/cell
**VASP energy**: -7.7447 eV per atom
**Energy above the lowest structure with this stoichiometry**: 0.289 eV per atom
**ρ**: 9.151 Mg/m³

=====

Entry 10:
## Mn3TcH (PBE)

Data for a relaxed Mn3TcH crystal.

Cell: 4.7308 4.7308 4.7308 Å, 90.00 90.00 90.00°
With the nearest neighbours (Å) after each atom.
Fractional positions:
Tc  0.0000  0.0000  0.0000  6 Mn 2.37
Mn  0.0000  0.5000  0.0000  2 Tc 2.37
Mn  0.5000  0.0000  0.0000  2 Tc 2.37
Mn  0.0000  0.0000  0.5000  2 Tc 2.37
H  0.5000  0.5000  0.5000  12 Mn 3.35

**Magnetic moment**: 2.216 μB/atom
**N(E_F)**: 5.269 states/eV/cell
**VASP energy**: -6.5377 eV per atom
**Energy above the lowest structure with this stoichiometry**: 1.663 eV per atom
**ρ**: 4.138 Mg/m³

=====

Entry 11:
## MnTc3H (PBE)

Data for a relaxed MnTc3H crystal.

Cell: 3.8565 3.8565 3.8565 Å, 90.00 90.00 90.00°
With the nearest neighbours (Å) after each atom.
Fractional positions:
Tc  0.0000  0.5000  0.0000  2 H 1.93
Tc  0.0000  0.0000  0.5000  2 H 1.93
Tc  0.5000  0.0000  0.0000  2 H 1.93
H  0.0000  0.0000  0.0000  6 Tc 1.93
Mn  0.5000  0.5000  0.5000  12 Tc 2.73

**Magnetic moment**: 0.000 μB/atom
**N(E_F)**: 5.668 states/eV/cell
**VASP energy**: -8.5844 eV per atom
**Energy above the lowest structure with this stoichiometry**: 0.000 eV per atom
**ρ**: 10.131 Mg/m³

=====

Entry 12:
## MnTcH2 (PBE)

Data for a relaxed MnTcH2 crystal.

Cell: 3.9774 3.9774 4.8812 Å, 65.96 65.96 90.00°
With the nearest neighbours (Å) after each atom.
Fractional positions:
H  0.1580  0.6250  0.2500  2 Mn 1.65, 2 Tc 1.80
H  0.3750  0.4080  0.7500  2 Mn 1.65, 2 Tc 1.80
H  0.8750  0.8420  0.7500  2 Mn 1.65, 2 Tc 1.80
H  0.5920  0.1250  0.2500  2 Mn 1.65, 2 Tc 1.80
Tc  0.0000  0.0000  0.0000  4 H 1.80
Tc  0.7500  0.2500  0.5000  4 H 1.80
Mn  0.2500  0.7500  0.5000  4 H 1.65
Mn  0.5000  0.5000  0.0000  4 H 1.65

**Magnetic moment**: 0.000 μB/atom
**N(E_F)**: 7.527 states/eV/cell
**VASP energy**: -6.3958 eV per atom
**Energy above the lowest structure with this stoichiometry**: 0.044 eV per atom
**ρ**: 8.154 Mg/m³